LaMnF6 | PBE+U | relaxed

magnetization: 3.90 μB per formula unit
electronic total energy: -6.024 eV per atom

Geometry as CIF:
```
data_LaMnF6
_cell_length_a 4.035
_cell_length_b 6.642
_cell_length_c 8.640
_cell_angle_alpha 90.00
_cell_angle_beta 90.00
_cell_angle_gamma 90.00
_symmetry_space_group_name_H-M 'A m m 2'
_symmetry_Int_Tables_number 38
loop_
_symmetry_equiv_pos_as_xyz
'x,y,z'
'-x,-y,z'
'-x,y,z'
'x,-y,z'
'x,y+1/2,z+1/2'
'-x,-y+1/2,z+1/2'
'-x,y+1/2,z+1/2'
'x,-y+1/2,z+1/2'
loop_
_atom_site_label
_atom_site_type_symbol
_atom_site_fract_x
_atom_site_fract_y
_atom_site_fract_z
La1 La 0.000 0.000 0.000
Mn1 Mn 0.500 0.000 0.391
F1 F 0.000 0.000 0.383
F2 F 0.000 0.223 0.639
F3 F 0.500 0.000 0.161
F4 F 0.500 0.221 0.900
```